## LiHfMg (PBE-GGA)

Data for LiHfMg after structural relaxation.

Cell: 3.1594 3.1511 16.1769 Å, 72.95 101.26 119.80°
Last column: nearest neighbours and their distance in Å.
Atoms (fractional coordinates):
Mg (0.9110, 0.8281, 0.7525)  3 Li 3.13-3.14, 6 Mg 3.15-3.16, 3 Hf 3.24-3.26
Hf (0.1940, 0.7284, 0.5785)  9 Hf 3.03-3.16, 3 Mg 3.24-3.26
Li (0.6955, 0.7215, 0.0826)  3 Mg 3.13-3.14, 9 Li 3.13-3.16
Mg (0.0890, 0.1719, 0.2475)  3 Li 3.13-3.14, 6 Mg 3.15-3.16, 3 Hf 3.24-3.26
Li (0.3045, 0.2785, 0.9174)  3 Mg 3.13-3.14, 9 Li 3.13-3.16
Hf (0.8060, 0.2716, 0.4215)  9 Hf 3.03-3.16, 3 Mg 3.24-3.26

Calculated values
* energy relative to the lowest polymorph listed for this composition: 0.000 eV/atom
* total moment: 0.00 μB per atom
* density of states at the Fermi level: 4.007 states/eV per cell
* energy of formation from the pure elements: 0.7 kcal/mol of atoms
* mass density: 5222 kg/m3

---

## LiHf2Mg2 (PBE-GGA)

Data for LiHf2Mg2 after structural relaxation.

Cell: 8.7698 8.7698 3.0951 Å, 90.00 90.00 90.00°
Last column: nearest neighbours and their distance in Å.
Atoms (fractional coordinates):
Hf (0.8799, 0.3799, 0.5000)  3 Hf 2.98-3.10, 6 Mg 2.98-3.05
Mg (0.1741, 0.3259, 0.0000)  6 Hf 2.98-3.05, 2 Mg 3.10, 2 Li 3.24
Hf (0.6201, 0.8799, 0.5000)  3 Hf 2.98-3.10, 6 Mg 2.98-3.05
Mg (0.6741, 0.1741, 0.0000)  6 Hf 2.98-3.05, 2 Mg 3.10, 2 Li 3.24
Mg (0.8259, 0.6741, 0.0000)  6 Hf 2.98-3.05, 2 Mg 3.10, 2 Li 3.24
Li (0.0000, 0.0000, 0.0000)  2 Li 3.10, 4 Mg 3.24
Hf (0.1201, 0.6201, 0.5000)  3 Hf 2.98-3.10, 6 Mg 2.98-3.05
Li (0.5000, 0.5000, 0.0000)  2 Li 3.10, 4 Mg 3.24
Mg (0.3259, 0.8259, 0.0000)  6 Hf 2.98-3.05, 2 Mg 3.10, 2 Li 3.24
Hf (0.3799, 0.1201, 0.5000)  3 Hf 2.98-3.10, 6 Mg 2.98-3.05

Calculated values
* total moment: 0.00 μB per atom
* density of states at the Fermi level: 10.774 states/eV per cell
* energy of formation from the pure elements: 9.5 kcal/mol of atoms
* mass density: 5755 kg/m3

---

## LiHfMgNb2 (PBE-GGA)

Data for LiHfMgNb2 after structural relaxation.

Cell: 4.5261 4.7061 4.5261 Å, 90.00 90.00 90.00°
Last column: nearest neighbours and their distance in Å.
Atoms (fractional coordinates):
Mg (0.5000, 0.5000, 0.5000)  4 Hf 3.20, 8 Nb 3.26
Li (0.0000, 0.0000, 0.0000)  4 Nb 2.26, 2 Hf 2.35
Nb (0.0000, 0.0000, 0.5000)  2 Li 2.26
Hf (0.0000, 0.5000, 0.0000)  2 Li 2.35
Nb (0.5000, 0.0000, 0.0000)  2 Li 2.26

Calculated values
* total moment: 0.00 μB per atom
* density of states at the Fermi level: 7.284 states/eV per cell
* energy of formation from the pure elements: 21.4 kcal/mol of atoms
* mass density: 6813 kg/m3

---

## Li2HfMgNb (PBE-GGA)

Data for Li2HfMgNb after structural relaxation.

Cell: 4.3044 5.4360 4.3044 Å, 90.00 90.00 90.00°
Last column: nearest neighbours and their distance in Å.
Atoms (fractional coordinates):
Mg (0.0000, 0.0000, 0.0000)  4 Li 2.15
Li (0.0000, 0.0000, 0.5000)  2 Mg 2.15
Hf (0.0000, 0.5000, 0.0000)  2 Mg 2.72, 4 Nb 3.04
Nb (0.5000, 0.5000, 0.5000)  4 Hf 3.04
Li (0.5000, 0.0000, 0.0000)  2 Mg 2.15

Calculated values
* total moment: 0.15 μB per atom
* density of states at the Fermi level: 3.979 states/eV per cell
* energy of formation from the pure elements: 24.3 kcal/mol of atoms
* mass density: 5104 kg/m3

---

## LiHfMg14O15 (PBE-GGA)

Data for LiHfMg14O15 after structural relaxation.

Cell: 4.2936 8.5590 8.6090 Å, 90.00 90.00 90.00°
Last column: nearest neighbours and their distance in Å.
Atoms (fractional coordinates):
Mg (0.0000, 0.7464, 0.2387)  5 O 2.05-2.18
Mg (0.5000, 0.2560, 0.5000)  6 O 2.09-2.15
Hf (0.0000, 0.9926, 0.5000)  5 O 2.07-2.24
O (0.5000, 0.7504, 0.2454)  6 Mg 2.11-2.19
O (0.0000, 0.2567, 0.0000)  5 Mg 2.08-2.15, 1 Li 2.19
O (0.0000, 0.4997, 0.7479)  6 Mg 2.11-2.17
Mg (0.5000, 0.7534, 0.0000)  6 O 2.11-2.18
O (0.5000, 0.2486, 0.2509)  6 Mg 2.14-2.16
Mg (0.0000, 0.4994, 0.0000)  6 O 2.08-2.17
Mg (0.5000, 0.9991, 0.7665)  5 O 2.01-2.16
Mg (0.0000, 0.5007, 0.5000)  5 O 2.11-2.15
Mg (0.5000, 0.7473, 0.5000)  4 O 2.11-2.21
O (0.5000, 0.4985, 0.0000)  6 Mg 2.13-2.18
O (0.5000, 0.0050, 0.5000)  4 Mg 2.15-2.29, 2 Hf 2.15
O (0.0000, 0.0001, 0.7408)  1 Hf 2.07, 4 Mg 2.16-2.18, 1 Li 2.23
Mg (0.5000, 0.9991, 0.2335)  5 O 2.01-2.16
Li (0.0000, 0.0005, 0.0000)  6 O 2.15-2.23
O (0.0000, 0.0001, 0.2592)  1 Hf 2.07, 4 Mg 2.16-2.18, 1 Li 2.23
Mg (0.0000, 0.7464, 0.7613)  5 O 2.05-2.18
Mg (0.5000, 0.2462, 0.0000)  6 O 2.10-2.16
Mg (0.0000, 0.2530, 0.7585)  6 O 2.08-2.23
O (0.5000, 0.0008, 0.0000)  4 Mg 2.01-2.12, 2 Li 2.15
O (0.0000, 0.7424, 0.0000)  5 Mg 2.05-2.15, 1 Li 2.21
Mg (0.5000, 0.5006, 0.2476)  6 O 2.13-2.17
O (0.5000, 0.5004, 0.5000)  6 Mg 2.09-2.17
O (0.0000, 0.4997, 0.2521)  6 Mg 2.11-2.17
O (0.5000, 0.7504, 0.7546)  6 Mg 2.11-2.19
Mg (0.5000, 0.5006, 0.7524)  6 O 2.13-2.17
O (0.0000, 0.2545, 0.5000)  5 Mg 2.11-2.23, 1 Hf 2.24
O (0.5000, 0.2486, 0.7491)  6 Mg 2.14-2.16
Mg (0.0000, 0.2530, 0.2415)  6 O 2.08-2.23

Calculated values
* energy relative to the lowest polymorph listed for this composition: 0.000 eV/atom
* total moment: 0.01 μB per atom
* density of states at the Fermi level: 1.988 states/eV per cell
* formation energy from raw total energies: -2.53 eV per atom
* mass density: 4019 kg/m3

---

## LiHfMg14O15 (PBE-GGA)

Data for LiHfMg14O15 after structural relaxation.

Cell: 4.2876 8.6060 8.6261 Å, 90.00 90.00 90.00°
Last column: nearest neighbours and their distance in Å.
Atoms (fractional coordinates):
O (0.5000, 0.7508, 0.7470)  6 Mg 2.13-2.18
O (0.0000, 0.2535, 0.5000)  5 Mg 2.11-2.24, 1 Hf 2.18
Mg (0.5000, 0.4995, 0.7528)  6 O 2.13-2.18
Mg (0.0000, 0.4991, 0.0000)  5 O 2.08-2.18
Mg (0.0000, 0.7460, 0.2414)  5 O 2.13-2.23
Mg (0.5000, 0.2460, 0.0000)  6 O 2.11-2.17
Mg (0.0000, 0.2525, 0.2406)  6 O 2.08-2.24
Hf (0.0000, 0.9997, 0.5000)  6 O 2.10-2.19
Mg (0.0000, 0.2525, 0.7594)  6 O 2.08-2.24
Mg (0.5000, 0.2564, 0.5000)  6 O 2.09-2.21
O (0.0000, 0.2569, 0.0000)  5 Mg 2.08-2.15, 1 Li 2.12
Mg (0.5000, 0.7537, 0.0000)  4 O 2.12-2.21
O (0.5000, 0.4993, 0.5000)  6 Mg 2.09-2.18
O (0.5000, 0.0005, 0.0000)  4 Mg 2.01-2.12, 2 Li 2.15
O (0.0000, 0.4982, 0.2530)  6 Mg 2.12-2.18
Mg (0.5000, 0.4995, 0.2472)  6 O 2.13-2.18
O (0.0000, 0.4982, 0.7470)  6 Mg 2.12-2.18
O (0.0000, 0.0007, 0.2561)  1 Hf 2.10, 4 Mg 2.15-2.20, 1 Li 2.21
O (0.5000, 0.2483, 0.7490)  6 Mg 2.15-2.17
O (0.5000, 0.2483, 0.2510)  6 Mg 2.15-2.17
O (0.5000, 0.7508, 0.2530)  6 Mg 2.13-2.18
O (0.0000, 0.7453, 0.5000)  5 Mg 2.12-2.23, 1 Hf 2.19
Mg (0.5000, 0.7424, 0.5000)  6 O 2.09-2.21
Li (0.0000, 0.0103, 0.0000)  5 O 2.12-2.21
Mg (0.0000, 0.4990, 0.5000)  6 O 2.11-2.14
Mg (0.0000, 0.7460, 0.7586)  5 O 2.13-2.23
O (0.5000, 0.9998, 0.5000)  2 Hf 2.14, 4 Mg 2.21-2.30
O (0.5000, 0.4972, 0.0000)  6 Mg 2.13-2.21
Mg (0.5000, 0.9994, 0.7667)  5 O 2.01-2.15
O (0.0000, 0.0007, 0.7439)  1 Hf 2.10, 4 Mg 2.15-2.20, 1 Li 2.21
Mg (0.5000, 0.9994, 0.2333)  5 O 2.01-2.15

Calculated values
* energy relative to the lowest polymorph listed for this composition: 0.016 eV/atom
* total moment: 0.03 μB per atom
* density of states at the Fermi level: 1.968 states/eV per cell
* formation energy from raw total energies: -2.52 eV per atom
* mass density: 3995 kg/m3

---

## LiHfMgPd (PBE-GGA)

Data for LiHfMgPd after structural relaxation.

Cell: 4.6007 4.6007 4.6007 Å, 60.00 60.00 60.00°
Last column: nearest neighbours and their distance in Å.
Atoms (fractional coordinates):
Li (0.0000, 0.0000, 0.0000)  4 Hf 2.82, 4 Mg 2.82
Mg (0.2500, 0.2500, 0.2500)  4 Li 2.82, 4 Pd 2.82
Pd (0.5000, 0.5000, 0.5000)  4 Hf 2.82, 4 Mg 2.82
Hf (0.7500, 0.7500, 0.7500)  4 Pd 2.82, 4 Li 2.82

Calculated values
* total moment: 0.00 μB per atom
* density of states at the Fermi level: 5.790 states/eV per cell
* energy of formation from the pure elements: -7.1 kcal/mol of atoms
* mass density: 7624 kg/m3

---

## LiHfMgRh (PBE-GGA)

Data for LiHfMgRh after structural relaxation.

Cell: 4.5520 4.5520 4.5520 Å, 60.00 60.00 60.00°
Last column: nearest neighbours and their distance in Å.
Atoms (fractional coordinates):
Mg (0.7500, 0.7500, 0.7500)  4 Li 2.79, 4 Rh 2.79
Li (0.0000, 0.0000, 0.0000)  4 Hf 2.79, 4 Mg 2.79
Hf (0.2500, 0.2500, 0.2500)  4 Rh 2.79, 4 Li 2.79
Rh (0.5000, 0.5000, 0.5000)  4 Mg 2.79, 4 Hf 2.79

Calculated values
* total moment: 0.00 μB per atom
* density of states at the Fermi level: 3.533 states/eV per cell
* energy of formation from the pure elements: -8.8 kcal/mol of atoms
* mass density: 7784 kg/m3

---

## Li4Hf3MgS8 (PBE-GGA)

Data for Li4Hf3MgS8 after structural relaxation.

Cell: 7.2651 7.4471 7.2644 Å, 119.21 120.00 90.00°
Last column: nearest neighbours and their distance in Å.
Atoms (fractional coordinates):
Li (0.5000, 0.0000, 0.0000)  6 S 2.62
Hf (0.0000, 0.5000, 0.5000)  6 S 2.57-2.59
Mg (0.0000, 0.5000, 0.0000)  6 S 2.58
S (0.7515, 0.2572, 0.5031)  2 Hf 2.57, 1 Mg 2.58, 3 Li 2.62-2.63
Hf (0.5000, 0.5000, 0.0000)  6 S 2.57-2.59
Hf (0.5000, 0.5000, 0.5000)  6 S 2.57-2.59
S (0.2540, 0.2571, 0.0054)  2 Hf 2.57, 1 Mg 2.58, 3 Li 2.62-2.63
S (0.2485, 0.7428, 0.4969)  2 Hf 2.57, 1 Mg 2.58, 3 Li 2.62-2.63
Li (0.5000, 0.0000, 0.5000)  6 S 2.62-2.63
S (0.7515, 0.2571, 0.0054)  2 Hf 2.57, 1 Mg 2.58, 3 Li 2.62-2.63
S (0.7460, 0.7429, 0.9946)  2 Hf 2.57, 1 Mg 2.58, 3 Li 2.62-2.63
Li (0.0000, 0.0000, 0.5000)  6 S 2.62-2.63
S (0.2512, 0.2539, 0.5024)  3 Hf 2.59, 3 Li 2.61-2.62
S (0.2485, 0.7429, 0.9946)  2 Hf 2.57, 1 Mg 2.58, 3 Li 2.62-2.63
Li (0.0000, 0.0000, 0.0000)  6 S 2.61-2.63
S (0.7488, 0.7461, 0.4976)  3 Hf 2.59, 3 Li 2.61-2.62

Calculated values
* total moment: 0.00 μB per atom
* density of states at the Fermi level: 4.110 states/eV per cell
* formation energy from raw total energies: -1.50 eV per atom
* mass density: 4985 kg/m3

---

## Li3HfMg2S6 (PBE-GGA)

Data for Li3HfMg2S6 after structural relaxation.

Cell: 6.3592 6.3592 6.4349 Å, 99.52 99.52 119.99°
Last column: nearest neighbours and their distance in Å.
Atoms (fractional coordinates):
Mg (0.3328, 0.6672, 0.0000)  6 S 2.59-2.60
S (0.0808, 0.4080, 0.2425)  1 Hf 2.55, 2 Mg 2.59-2.60, 3 Li 2.62-2.68
Hf (0.0000, 0.0000, 0.0000)  6 S 2.55
S (0.2472, 0.2472, 0.7593)  1 Hf 2.55, 2 Mg 2.59, 3 Li 2.61-2.67
S (0.5920, 0.9192, 0.7575)  1 Hf 2.55, 2 Mg 2.59-2.60, 3 Li 2.62-2.68
Li (0.1648, 0.8352, 0.5000)  6 S 2.61-2.68
S (0.4080, 0.0808, 0.2425)  1 Hf 2.55, 2 Mg 2.59-2.60, 3 Li 2.62-2.68
Li (0.8352, 0.1648, 0.5000)  6 S 2.61-2.68
Li (0.5000, 0.5000, 0.5000)  6 S 2.62-2.67
Mg (0.6672, 0.3328, 0.0000)  6 S 2.59-2.60
S (0.9192, 0.5920, 0.7575)  1 Hf 2.55, 2 Mg 2.59-2.60, 3 Li 2.62-2.68
S (0.7528, 0.7528, 0.2407)  1 Hf 2.55, 2 Mg 2.59, 3 Li 2.61-2.67

Calculated values
* total moment: 0.00 μB per atom
* density of states at the Fermi level: 6.224 states/eV per cell
* formation energy from raw total energies: -1.33 eV per atom
* mass density: 3438 kg/m3

---

Please write out number 1 again, unchanged.
## LiHfMg (PBE-GGA)

Data for LiHfMg after structural relaxation.

Cell: 3.1594 3.1511 16.1769 Å, 72.95 101.26 119.80°
Last column: nearest neighbours and their distance in Å.
Atoms (fractional coordinates):
Mg (0.9110, 0.8281, 0.7525)  3 Li 3.13-3.14, 6 Mg 3.15-3.16, 3 Hf 3.24-3.26
Hf (0.1940, 0.7284, 0.5785)  9 Hf 3.03-3.16, 3 Mg 3.24-3.26
Li (0.6955, 0.7215, 0.0826)  3 Mg 3.13-3.14, 9 Li 3.13-3.16
Mg (0.0890, 0.1719, 0.2475)  3 Li 3.13-3.14, 6 Mg 3.15-3.16, 3 Hf 3.24-3.26
Li (0.3045, 0.2785, 0.9174)  3 Mg 3.13-3.14, 9 Li 3.13-3.16
Hf (0.8060, 0.2716, 0.4215)  9 Hf 3.03-3.16, 3 Mg 3.24-3.26

Calculated values
* energy relative to the lowest polymorph listed for this composition: 0.000 eV/atom
* total moment: 0.00 μB per atom
* density of states at the Fermi level: 4.007 states/eV per cell
* energy of formation from the pure elements: 0.7 kcal/mol of atoms
* mass density: 5222 kg/m3

---

- Number 7 is which compound?
  LiHfMgPd

---

- Among the records above, which one has the highest mass density?
  LiHfMgRh

---

- mass density of number 6 (LiHfMg14O15)?
  3995 kg/m3